(1)
The following is a PBEsol calculation of crystalline ZrHgBr2 at its relaxed geometry, from Alexandria.

Computed properties:
Formation energy without anion corrections = -0.90 eV per atom
Space-group type = No. 166
Theoretical density = 7.3 g/cm3

abc: 3.4045 3.4045 10.3660
angles: 80.55 80.55 60.00
Last column: nearest neighbours and their distance in Å.
Sites, in units of the cell vectors:
Zr 0.0000 0.0000 0.0000  6 Br 2.74
Hg 0.5000 0.5000 0.5000  6 Hg 3.40, 6 Br 3.74
Br 0.2710 0.2710 0.1871  3 Zr 2.74
Br 0.7290 0.7290 0.8129  3 Zr 2.74

(2)
The following is a PBEsol calculation of crystalline ZrHgBr2 at its relaxed geometry, from Alexandria.

Computed properties:
Formation energy without anion corrections = -0.24 eV per atom
Space-group type = No. 12
Theoretical density = 8.2 g/cm3

abc: 3.3548 5.7379 5.7617
angles: 118.92 105.46 92.82
Last column: nearest neighbours and their distance in Å.
Sites, in units of the cell vectors:
Br 0.0000 0.0000 0.5000  2 Zr 2.88, 2 Hg 2.88
Br 0.5000 0.5000 0.5000  2 Hg 2.88, 2 Zr 2.88
Hg 0.0000 0.0000 0.0000  4 Br 2.88
Zr 0.5000 0.5000 0.0000  4 Br 2.88